Entry 1:
# LiP2Se (GGA-PBE, optimized geometry)
# space-group type = P4mm, No. 99
# DFT total energy = -4.164 eV per atom
# M_tot = 0.00 μB per cell
# theoretical density = 3.10 Mg/m³
# formation energy (no corrections) = -110 meV per atom
data_LiP2Se
_chemical_formula_sum 'Li1 P2 Se1'
_space_group_name_H-M_alt 'P 1'
_space_group_IT_number 1
_space_group_name_Hall 'P 1'
_cell_length_a 2.9905
_cell_length_b 2.9905
_cell_length_c 8.8482
_cell_angle_alpha 90.00
_cell_angle_beta 90.00
_cell_angle_gamma 90.00
loop_
_atom_site_label
_atom_site_type_symbol
_atom_site_fract_x
_atom_site_fract_y
_atom_site_fract_z
Li1 Li 0.0000 0.0000 0.0000
P1 P 0.0000 0.0000 0.3546
P2 P 0.5000 0.5000 0.2402
Se1 Se 0.5000 0.5000 0.7949

=====

Entry 2:
# LiP2Se6 (GGA-PBE, optimized geometry)
# space-group type = C2/c, No. 15
# DFT total energy = -3.873 eV per atom
# M_tot = 0.00 μB per cell
# theoretical density = 4.03 Mg/m³
# formation energy (no corrections) = -135 meV per atom
data_LiP2Se6
_chemical_formula_sum 'Li2 P4 Se12'
_space_group_name_H-M_alt 'P 1'
_space_group_IT_number 1
_space_group_name_Hall 'P 1'
_cell_length_a 8.6612
_cell_length_b 8.6612
_cell_length_c 6.2215
_cell_angle_alpha 101.64
_cell_angle_beta 101.64
_cell_angle_gamma 86.83
loop_
_atom_site_label
_atom_site_type_symbol
_atom_site_fract_x
_atom_site_fract_y
_atom_site_fract_z
Li1 Li 0.1293 0.8707 0.7500
Li2 Li 0.8707 0.1293 0.2500
P1 P 0.2082 0.3727 0.7744
P2 P 0.3727 0.2082 0.2744
P3 P 0.6273 0.7918 0.7256
P4 P 0.7918 0.6273 0.2256
Se1 Se 0.0261 0.1875 0.6824
Se2 Se 0.1398 0.6026 0.9661
Se3 Se 0.1875 0.0261 0.1824
Se4 Se 0.2818 0.4441 0.4759
Se5 Se 0.3974 0.8602 0.5339
Se6 Se 0.4441 0.2818 0.9759
Se7 Se 0.5559 0.7182 0.0241
Se8 Se 0.6026 0.1398 0.4661
Se9 Se 0.7182 0.5559 0.5241
Se10 Se 0.8125 0.9739 0.8176
Se11 Se 0.8602 0.3974 0.0339
Se12 Se 0.9739 0.8125 0.3176

=====

Entry 3:
# Li2PSe (GGA-PBE, optimized geometry)
# space-group type = Imm2, No. 44
# DFT total energy = -3.609 eV per atom
# M_tot = 0.00 μB per cell
# theoretical density = 3.03 Mg/m³
# formation energy (no corrections) = -428 meV per atom
data_Li2PSe
_chemical_formula_sum 'Li2 P1 Se1'
_space_group_name_H-M_alt 'P 1'
_space_group_IT_number 1
_space_group_name_Hall 'P 1'
_cell_length_a 5.6968
_cell_length_b 5.6968
_cell_length_c 5.6968
_cell_angle_alpha 147.00
_cell_angle_beta 137.33
_cell_angle_gamma 54.97
loop_
_atom_site_label
_atom_site_type_symbol
_atom_site_fract_x
_atom_site_fract_y
_atom_site_fract_z
Li1 Li 0.0000 0.0000 0.0000
Li2 Li 0.7219 0.2219 0.5000
P1 P 0.2344 0.7344 0.5000
Se1 Se 0.4282 0.4282 0.0000

=====

Entry 4:
# LiP2Se (GGA-PBE, optimized geometry)
# space-group type = Imm2, No. 44
# DFT total energy = -4.089 eV per atom
# M_tot = 0.00 μB per cell
# theoretical density = 3.38 Mg/m³
# formation energy (no corrections) = -35 meV per atom
data_LiP2Se
_chemical_formula_sum 'Li1 P2 Se1'
_space_group_name_H-M_alt 'P 1'
_space_group_IT_number 1
_space_group_name_Hall 'P 1'
_cell_length_a 5.7642
_cell_length_b 5.7642
_cell_length_c 5.7642
_cell_angle_alpha 146.31
_cell_angle_beta 136.55
_cell_angle_gamma 56.08
loop_
_atom_site_label
_atom_site_type_symbol
_atom_site_fract_x
_atom_site_fract_y
_atom_site_fract_z
Li1 Li 0.0000 0.0000 0.0000
P1 P 0.3077 0.8077 0.5000
P2 P 0.4556 0.4556 0.0000
Se1 Se 0.6549 0.1549 0.5000

=====

Entry 5:
# Li2PSe (GGA-PBE, optimized geometry)
# space-group type = Cm, No. 8
# DFT total energy = -3.740 eV per atom
# M_tot = 0.00 μB per cell
# theoretical density = 3.00 Mg/m³
# formation energy (no corrections) = -559 meV per atom
data_Li2PSe
_chemical_formula_sum 'Li2 P1 Se1'
_space_group_name_H-M_alt 'P 1'
_space_group_IT_number 1
_space_group_name_Hall 'P 1'
_cell_length_a 5.3877
_cell_length_b 5.3877
_cell_length_c 4.2209
_cell_angle_alpha 109.87
_cell_angle_beta 109.87
_cell_angle_gamma 36.85
loop_
_atom_site_label
_atom_site_type_symbol
_atom_site_fract_x
_atom_site_fract_y
_atom_site_fract_z
Li1 Li 0.0000 0.0000 0.0000
Li2 Li 0.7423 0.7423 0.4641
P1 P 0.4779 0.4779 0.4628
Se1 Se 0.2716 0.2716 0.0173

=====

Entry 6:
# Li2PSe (GGA-PBE, optimized geometry)
# space-group type = Cmm2, No. 35
# DFT total energy = -3.333 eV per atom
# M_tot = 0.00 μB per cell
# theoretical density = 2.67 Mg/m³
# formation energy (no corrections) = -153 meV per atom
data_Li2PSe
_chemical_formula_sum 'Li2 P1 Se1'
_space_group_name_H-M_alt 'P 1'
_space_group_IT_number 1
_space_group_name_Hall 'P 1'
_cell_length_a 2.7737
_cell_length_b 2.7737
_cell_length_c 10.0271
_cell_angle_alpha 90.00
_cell_angle_beta 90.00
_cell_angle_gamma 90.13
loop_
_atom_site_label
_atom_site_type_symbol
_atom_site_fract_x
_atom_site_fract_y
_atom_site_fract_z
Li1 Li 0.0000 0.0000 0.0000
Li2 Li 0.5000 0.5000 0.2729
P1 P 0.5000 0.5000 0.8326
Se1 Se 0.0000 0.0000 0.4465

=====

Entry 7:
# Li2PSe (GGA-PBE, optimized geometry)
# space-group type = Cmmm, No. 65
# DFT total energy = -3.675 eV per atom
# M_tot = 0.00 μB per cell
# theoretical density = 3.24 Mg/m³
# formation energy (no corrections) = -495 meV per atom
data_Li2PSe
_chemical_formula_sum 'Li2 P1 Se1'
_space_group_name_H-M_alt 'P 1'
_space_group_IT_number 1
_space_group_name_Hall 'P 1'
_cell_length_a 4.6398
_cell_length_b 4.6398
_cell_length_c 3.1116
_cell_angle_alpha 90.00
_cell_angle_beta 90.00
_cell_angle_gamma 108.49
loop_
_atom_site_label
_atom_site_type_symbol
_atom_site_fract_x
_atom_site_fract_y
_atom_site_fract_z
Li1 Li 0.0000 0.5000 0.0000
Li2 Li 0.5000 0.0000 0.0000
P1 P 0.0000 0.0000 0.5000
Se1 Se 0.5000 0.5000 0.5000

=====

Entry 8:
# LiP2Se (GGA-PBE, optimized geometry)
# space-group type = Pmmm, No. 47
# DFT total energy = -3.986 eV per atom
# M_tot = 0.00 μB per cell
# theoretical density = 3.33 Mg/m³
# formation energy (no corrections) = 69 meV per atom
data_LiP2Se
_chemical_formula_sum 'Li1 P2 Se1'
_space_group_name_H-M_alt 'P 1'
_space_group_IT_number 1
_space_group_name_Hall 'P 1'
_cell_length_a 2.7361
_cell_length_b 5.1567
_cell_length_c 5.2281
_cell_angle_alpha 90.00
_cell_angle_beta 90.00
_cell_angle_gamma 90.00
loop_
_atom_site_label
_atom_site_type_symbol
_atom_site_fract_x
_atom_site_fract_y
_atom_site_fract_z
Li1 Li 0.0000 0.0000 0.0000
P1 P 0.5000 0.5000 0.1971
P2 P 0.5000 0.5000 0.8029
Se1 Se 0.0000 0.0000 0.5000

=====

Entry 9:
# LiP2Se (GGA-PBE, optimized geometry)
# space-group type = Pm, No. 6
# DFT total energy = -4.232 eV per atom
# M_tot = 0.00 μB per cell
# theoretical density = 3.32 Mg/m³
# formation energy (no corrections) = -177 meV per atom
data_LiP2Se
_chemical_formula_sum 'Li1 P2 Se1'
_space_group_name_H-M_alt 'P 1'
_space_group_IT_number 1
_space_group_name_Hall 'P 1'
_cell_length_a 2.7100
_cell_length_b 4.4242
_cell_length_c 6.1640
_cell_angle_alpha 90.00
_cell_angle_beta 90.17
_cell_angle_gamma 90.00
loop_
_atom_site_label
_atom_site_type_symbol
_atom_site_fract_x
_atom_site_fract_y
_atom_site_fract_z
Li1 Li 0.0000 0.0000 0.0000
P1 P 0.4972 0.0000 0.6374
P2 P 0.4973 0.5000 0.5304
Se1 Se 0.4974 0.5000 0.1443

=====

Entry 10:
# Li2PSe (GGA-PBE, optimized geometry)
# space-group type = Pmmm, No. 47
# DFT total energy = -3.663 eV per atom
# M_tot = 0.00 μB per cell
# theoretical density = 3.25 Mg/m³
# formation energy (no corrections) = -482 meV per atom
data_Li2PSe
_chemical_formula_sum 'Li2 P1 Se1'
_space_group_name_H-M_alt 'P 1'
_space_group_IT_number 1
_space_group_name_Hall 'P 1'
_cell_length_a 3.7902
_cell_length_b 4.0531
_cell_length_c 4.1140
_cell_angle_alpha 90.00
_cell_angle_beta 90.00
_cell_angle_gamma 90.00
loop_
_atom_site_label
_atom_site_type_symbol
_atom_site_fract_x
_atom_site_fract_y
_atom_site_fract_z
Li1 Li 0.0000 0.0000 0.0000
Li2 Li 0.0000 0.5000 0.5000
P1 P 0.5000 0.0000 0.5000
Se1 Se 0.5000 0.5000 0.0000

=====

Entry 11:
# Li5PSe6 (GGA-PBE, optimized geometry)
# space-group type = C2/m, No. 12
# DFT total energy = -3.642 eV per atom
# M_tot = 0.00 μB per cell
# theoretical density = 3.78 Mg/m³
# formation energy (no corrections) = -651 meV per atom
data_Li5PSe6
_chemical_formula_sum 'Li5 P1 Se6'
_space_group_name_H-M_alt 'P 1'
_space_group_IT_number 1
_space_group_name_Hall 'P 1'
_cell_length_a 6.8695
_cell_length_b 6.8695
_cell_length_c 6.7598
_cell_angle_alpha 100.05
_cell_angle_beta 100.05
_cell_angle_gamma 126.42
loop_
_atom_site_label
_atom_site_type_symbol
_atom_site_fract_x
_atom_site_fract_y
_atom_site_fract_z
Li1 Li 0.0000 0.0000 0.0000
Li2 Li 0.1956 0.8044 0.5000
Li3 Li 0.3147 0.6853 0.0000
Li4 Li 0.6853 0.3147 0.0000
Li5 Li 0.8044 0.1956 0.5000
P1 P 0.5000 0.5000 0.5000
Se1 Se 0.1408 0.4280 0.2419
Se2 Se 0.1874 0.1874 0.6528
Se3 Se 0.4280 0.1408 0.2419
Se4 Se 0.5720 0.8592 0.7581
Se5 Se 0.8126 0.8126 0.3472
Se6 Se 0.8592 0.5720 0.7581

=====

Entry 12:
# Li2PSe (GGA-PBE, optimized geometry)
# space-group type = P2/m, No. 10
# DFT total energy = -3.684 eV per atom
# M_tot = 0.00 μB per cell
# theoretical density = 3.25 Mg/m³
# formation energy (no corrections) = -503 meV per atom
data_Li2PSe
_chemical_formula_sum 'Li2 P1 Se1'
_space_group_name_H-M_alt 'P 1'
_space_group_IT_number 1
_space_group_name_Hall 'P 1'
_cell_length_a 2.7685
_cell_length_b 3.8597
_cell_length_c 5.9219
_cell_angle_alpha 90.00
_cell_angle_beta 93.10
_cell_angle_gamma 90.00
loop_
_atom_site_label
_atom_site_type_symbol
_atom_site_fract_x
_atom_site_fract_y
_atom_site_fract_z
Li1 Li 0.0123 0.0000 0.2313
Li2 Li 0.9877 0.0000 0.7687
P1 P 0.5000 0.5000 0.0000
Se1 Se 0.5000 0.5000 0.5000

=====

Q: Which formula does entry 4 have?
A: LiP2Se